1.
Here is RbCdPS4 after structural relaxation from Alexandria via LeMat-Bulk. Energies are from PBE-GGA.

The crystal system is monoclinic.

Cell lengths 6.214, 6.959, 9.098 Å; angles 90.00, 106.94, 90.00 degrees
Space group P2_1/m (No. 11)
One atom of each set of equivalent atoms:
Rb (0.241, 0.250, 0.429) x2
Cd (0.305, 0.250, 0.978) x2
P (0.304, 0.750, 0.188) x2
S (0.076, 0.750, 0.972) x2
S (0.168, 0.750, 0.363) x2
S (0.475, 0.018, 0.797) x4

***

2.
Here is RbCdPS2 after structural relaxation from Alexandria via LeMat-Bulk. Energies are from PBE-GGA.

The crystal system is tetragonal. As for the energy relative to the lowest polymorph listed for this composition: 1050 meV per atom.

Cell lengths 6.500, 6.500, 6.846 Å; angles 90.00, 90.00, 90.00 degrees
Space group P4/mmm (No. 123)
One atom of each set of equivalent atoms:
Rb (0.000, 0.000, 0.000) x1
Cd (0.500, 0.500, 0.500) x1
P (0.000, 0.000, 0.500) x1
S (0.000, 0.500, 0.000) x2

***

| no. | E_form (uncorrected) (eV/atom) |
| --- | --- |
| 1 | -0.63 |
| 2 | 1.30 |